Here is a relaxed structure of CdBi2WO6 from Alexandria. Energies are from PBE+U.

It has space group P1 (No. 1), with a = 5.8697 Å, b = 5.8856 Å, c = 6.0215 Å, α = 118.98°, β = 90.75° and γ = 119.19°. The asymmetric unit holds Cd at (0.0000, 0.0000, 0.0000), Bi at (0.2700, 0.5437, 0.8184), Bi at (0.7851, 0.5592, 0.3377), W at (0.4884, 0.9710, 0.4528), O at (0.1389, 0.4966, 0.1616), O at (0.2179, 0.0368, 0.6419), O at (0.3726, 0.0379, 0.1693), O at (0.6298, 0.8375, 0.6496), O at (0.6793, 0.8185, 0.1762) and O at (0.8409, 0.4569, 0.6569).

For the energy, the calculation gives -59.5 eV/f.u.